Record 1
DFT (GGA-PBE) results for a relaxed structure of Ce2ICl5.

abc: 4.682 8.571 11.162
angles: 90.00 90.00 90.00
Space group Immm (No. 71)
Symmetry-distinct sites (fractional):
Ce (0.000, 0.000, 0.243)
I (0.000, 0.500, 0.000)
Cl (0.000, 0.000, 0.000)
Cl (0.000, 0.314, 0.333)

Summary:
Raw formation energy: -1975 meV per atom

Record 2
DFT (GGA-PBE) results for a relaxed structure of SmY2Pu.

abc: 3.5667 3.5667 34.4887
angles: 90.00 90.00 120.00
Space group R3m (No. 160, hexagonal axes)
Symmetry-distinct sites (fractional):
Sm (0.0000, 0.0000, 0.0000)
Y (0.0000, 0.0000, 0.2486)
Y (0.0000, 0.0000, 0.4190)
Pu (0.0000, 0.0000, 0.8343)

Summary:
ΔE_f: 0.11 eV per atom
Energy above the most stable polymorph in this dataset: 0.0 meV/atom

Which formula does entry 2 have?
SmY2Pu

Please write out number 2 again, unchanged.
DFT (GGA-PBE) results for a relaxed structure of SmY2Pu.

abc: 3.5667 3.5667 34.4887
angles: 90.00 90.00 120.00
Space group R3m (No. 160, hexagonal axes)
Symmetry-distinct sites (fractional):
Sm (0.0000, 0.0000, 0.0000)
Y (0.0000, 0.0000, 0.2486)
Y (0.0000, 0.0000, 0.4190)
Pu (0.0000, 0.0000, 0.8343)

Summary:
ΔE_f: 0.11 eV per atom
Energy above the most stable polymorph in this dataset: 0.0 meV/atom